Entry 1:
Computed, not measured: a relaxed LiTcPt crystal at the PBE level of DFT.

abc: 7.658 4.058 2.730
angles: 90.00 90.00 90.00
Atoms (fractional coordinates):
Pt 0.682 0.500 0.000
Tc 0.150 0.000 0.500
Tc 0.850 0.000 0.500
Pt 0.318 0.500 0.000
Li 0.000 0.500 0.000
Li 0.500 0.000 0.500

## Properties
The formation energy comes out at -16 kJ per mole of atoms. The density of states at the Fermi level comes out at 4.3 states/eV per cell. The calculation puts the density at 11.74 g cm⁻³. The calculation puts the total energy at -18.82 eV/f.u.

Entry 2:
Computed, not measured: a relaxed Ba6SrCa5 crystal at the PBE level of DFT.

abc: 14.063 7.275 7.270
angles: 59.98 85.07 80.11
Atoms (fractional coordinates):
Ca 0.500 0.833 0.334
Ca 0.500 0.500 0.000
Ba 0.747 0.420 0.664
Ba 0.747 0.084 0.336
Ba 0.253 0.916 0.664
Ca 0.000 0.333 0.333
Ba 0.253 0.580 0.336
Ca 0.000 0.667 0.667
Sr 0.000 0.000 0.000
Ca 0.500 0.167 0.666
Ba 0.747 0.748 0.000
Ba 0.253 0.252 0.000

## Properties
The formation energy comes out at 5 kJ per mole of atoms. The density of states at the Fermi level comes out at 16.1 states/eV per cell. The calculation puts the density at 2.91 g cm⁻³. The calculation puts the total energy at -22.65 eV/f.u.

Entry 3:
Computed, not measured: a relaxed Sn2TeIr crystal at the PBE level of DFT.

abc: 6.403 6.403 7.844
angles: 65.91 65.91 90.00
Atoms (fractional coordinates):
Sn 0.690 0.125 0.250
Sn 0.375 0.310 0.750
Te 0.250 0.750 0.500
Ir 0.000 0.000 0.000
Sn 0.060 0.625 0.250
Sn 0.875 0.940 0.750
Te 0.500 0.500 0.000
Ir 0.750 0.250 0.500

## Properties
The density of states at the Fermi level comes out at 4.3 states/eV per cell. The calculation puts the density at 7.05 g cm⁻³. The calculation puts the total energy at -19.54 eV/f.u.

Entry 4:
Computed, not measured: a relaxed ScPdI2O crystal at the PBE level of DFT.

abc: 5.591 5.591 3.900
angles: 90.00 90.00 90.00
Atoms (fractional coordinates):
I 0.500 0.000 0.000
Pd 0.000 0.000 0.000
I 0.000 0.500 0.000
O 0.000 0.000 0.500
Sc 0.500 0.500 0.500

## Properties
The density of states at the Fermi level comes out at 7.5 states/eV per cell. The calculation puts the density at 5.74 g cm⁻³. The calculation puts the total energy at -20.41 eV/f.u.

Entry 5:
Computed, not measured: a relaxed CoSb4Se crystal at the PBE level of DFT.

abc: 6.663 6.215 8.689
angles: 90.30 63.30 89.48
Atoms (fractional coordinates):
Sb 0.651 0.243 0.227
Sb 0.096 0.106 0.186
Sb 0.392 0.848 0.407
Co 0.000 0.000 0.500
Se 0.204 0.521 0.128
Sb 0.349 0.757 0.773
Sb 0.608 0.152 0.593
Sb 0.881 0.646 0.438
Co 0.500 0.500 0.500
Sb 0.119 0.354 0.562
Se 0.796 0.479 0.872
Sb 0.904 0.894 0.814

## Properties
The density of states at the Fermi level comes out at 3.3 states/eV per cell. The calculation puts the density at 6.46 g cm⁻³. The calculation puts the total energy at -27.44 eV/f.u.

Entry 6:
Computed, not measured: a relaxed MgB2Ir4 crystal at the PBE level of DFT.

abc: 5.336 5.336 7.716
angles: 109.82 111.10 89.38
Atoms (fractional coordinates):
B 0.547 0.327 0.686
Ir 0.840 0.571 0.660
B 0.641 0.861 0.314
Ir 0.297 0.564 0.130
Mg 0.002 0.002 0.000
B 0.663 0.504 0.348
B 0.156 0.315 0.652
Ir 0.428 0.683 0.859
Ir 0.910 0.180 0.340
Ir 0.434 0.167 0.870
Ir 0.418 0.198 0.370
Ir 0.824 0.569 0.141
Ir 0.829 0.048 0.630
Mg 0.260 0.760 0.500

## Properties
The formation energy comes out at -9 kJ per mole of atoms. The density of states at the Fermi level comes out at 8.7 states/eV per cell. The calculation puts the density at 14.14 g cm⁻³. The calculation puts the total energy at -51.02 eV/f.u.

Entry 7:
Computed, not measured: a relaxed TiCdHg crystal at the PBE level of DFT.

abc: 3.373 3.373 10.699
angles: 90.00 90.00 90.00
Atoms (fractional coordinates):
Ti 0.500 0.000 0.068
Ti 0.000 0.500 0.932
Cd 0.500 0.000 0.405
Cd 0.000 0.500 0.595
Hg 0.000 0.500 0.222
Hg 0.500 0.000 0.778

## Properties
The formation energy comes out at 0 kJ per mole of atoms. The density of states at the Fermi level comes out at 3.8 states/eV per cell. The calculation puts the density at 9.84 g cm⁻³. The calculation puts the total energy at -9.10 eV/f.u.

Entry 8:
Computed, not measured: a relaxed CsCrI4 crystal at the PBE level of DFT.

abc: 9.723 9.723 7.780
angles: 74.99 74.99 42.77
Atoms (fractional coordinates):
I 0.735 0.862 0.667
Cr 0.000 0.500 0.500
I 0.731 0.477 0.574
I 0.477 0.731 0.074
Cr 0.500 0.000 0.000
I 0.523 0.269 0.926
I 0.269 0.523 0.426
I 0.138 0.265 0.833
Cs 0.151 0.849 0.750
I 0.862 0.735 0.167
I 0.265 0.138 0.333
Cs 0.849 0.151 0.250

## Properties
The density of states at the Fermi level comes out at 0.7 states/eV per cell. The calculation puts the density at 4.79 g cm⁻³. The calculation puts the total energy at -20.92 eV/f.u.

Entry 9:
Computed, not measured: a relaxed Li2Ca2Cu3 crystal at the PBE level of DFT.

abc: 4.416 5.614 6.810
angles: 114.32 90.00 113.16
Atoms (fractional coordinates):
Li 0.136 0.273 0.250
Cu 0.500 0.000 0.000
Ca 0.841 0.682 0.246
Li 0.864 0.727 0.750
Ca 0.159 0.318 0.754
Cu 0.575 0.150 0.399
Cu 0.425 0.850 0.601

## Properties
The formation energy comes out at -3 kJ per mole of atoms. The density of states at the Fermi level comes out at 3.2 states/eV per cell. The calculation puts the density at 3.41 g cm⁻³. The calculation puts the total energy at -20.37 eV/f.u.

Entry 10:
Computed, not measured: a relaxed Na4Hg3Sb2 crystal at the PBE level of DFT.

abc: 4.993 5.775 9.742
angles: 72.67 90.02 64.41
Atoms (fractional coordinates):
Sb 0.277 0.446 0.743
Na 0.947 0.105 0.647
Hg 0.640 0.719 0.584
Hg 0.360 0.281 0.416
Na 0.639 0.720 0.901
Hg 0.000 0.000 0.000
Sb 0.723 0.554 0.257
Na 0.361 0.280 0.099
Na 0.053 0.895 0.353

## Properties
The density of states at the Fermi level comes out at 0.2 states/eV per cell. The calculation puts the density at 6.51 g cm⁻³. The calculation puts the total energy at -17.08 eV/f.u.

Entry 11:
Computed, not measured: a relaxed Pm4Dy2Tm5 crystal at the PBE level of DFT.

abc: 5.634 6.558 9.944
angles: 91.07 106.46 90.00
Atoms (fractional coordinates):
Dy 0.401 0.445 0.802
Tm 0.209 0.401 0.419
Tm 0.500 0.000 0.000
Tm 0.131 0.887 0.261
Pm 0.022 0.284 0.044
Pm 0.694 0.074 0.389
Pm 0.978 0.716 0.956
Tm 0.791 0.599 0.581
Pm 0.306 0.926 0.611
Tm 0.869 0.113 0.739
Dy 0.599 0.555 0.198

## Properties
The formation energy comes out at 10 kJ per mole of atoms. The density of states at the Fermi level comes out at 17.0 states/eV per cell. The calculation puts the density at 8.25 g cm⁻³. The calculation puts the total energy at -49.40 eV/f.u.

Entry 12:
Computed, not measured: a relaxed LaSc2W crystal at the PBE level of DFT.

abc: 5.261 5.261 6.104
angles: 85.62 85.62 33.40
Atoms (fractional coordinates):
Sc 0.987 0.987 0.041
W 0.250 0.250 0.250
Sc 0.513 0.513 0.459
La 0.750 0.750 0.750

## Properties
The formation energy comes out at 37 kJ per mole of atoms. The density of states at the Fermi level comes out at 5.0 states/eV per cell. The calculation puts the density at 7.39 g cm⁻³. The calculation puts the total energy at -29.02 eV/f.u.

Entry 13:
Computed, not measured: a relaxed ZrTi2In3 crystal at the PBE level of DFT.

abc: 3.650 3.650 9.215
angles: 90.00 90.00 90.00
Atoms (fractional coordinates):
Ti 0.500 0.500 0.158
Zr 0.500 0.500 0.500
In 0.000 0.000 0.000
In 0.000 0.000 0.679
Ti 0.500 0.500 0.842
In 0.000 0.000 0.321

## Properties
The formation energy comes out at -7 kJ per mole of atoms. The density of states at the Fermi level comes out at 8.0 states/eV per cell. The calculation puts the density at 7.19 g cm⁻³. The calculation puts the total energy at -33.00 eV/f.u.

Entry 14:
Computed, not measured: a relaxed CaFeRu2 crystal at the PBE level of DFT.

abc: 7.221 7.221 5.765
angles: 51.23 51.23 90.00
Atoms (fractional coordinates):
Fe 0.750 0.250 0.500
Ru 0.058 0.625 0.250
Ca 0.250 0.750 0.500
Ca 0.500 0.500 0.000
Ru 0.692 0.125 0.250
Fe 0.000 0.000 0.000
Ru 0.875 0.942 0.750
Ru 0.375 0.308 0.750

## Properties
The formation energy comes out at 60 kJ per mole of atoms. The density of states at the Fermi level comes out at 4.1 states/eV per cell. The calculation puts the density at 7.09 g cm⁻³. The calculation puts the total energy at -26.51 eV/f.u.

Entry 15:
Computed, not measured: a relaxed ScTi2Pd2 crystal at the PBE level of DFT.

abc: 7.846 7.846 2.808
angles: 90.00 90.00 90.00
Atoms (fractional coordinates):
Pd 0.660 0.840 0.500
Sc 0.500 0.500 0.000
Ti 0.137 0.363 0.000
Pd 0.840 0.340 0.500
Sc 0.000 0.000 0.000
Ti 0.363 0.863 0.000
Pd 0.160 0.660 0.500
Pd 0.340 0.160 0.500
Ti 0.637 0.137 0.000
Ti 0.863 0.637 0.000

## Properties
The formation energy comes out at -38 kJ per mole of atoms. The density of states at the Fermi level comes out at 11.7 states/eV per cell. The calculation puts the density at 6.79 g cm⁻³. The calculation puts the total energy at -34.50 eV/f.u.

Entry 16:
Computed, not measured: a relaxed PuTiSe crystal at the PBE level of DFT.

abc: 5.142 5.142 5.271
angles: 90.00 90.00 120.00
Atoms (fractional coordinates):
Ti 0.667 0.333 0.500
Pu 0.000 0.000 0.766
Se 0.333 0.667 0.000
Se 0.667 0.333 0.000
Pu 0.000 0.000 0.234
Ti 0.333 0.667 0.500

## Properties
The density of states at the Fermi level comes out at 10.9 states/eV per cell. The calculation puts the density at 10.20 g cm⁻³. The calculation puts the total energy at -26.70 eV/f.u.

Entry 17:
Computed, not measured: a relaxed Al2CuSi crystal at the PBE level of DFT.

abc: 2.910 3.926 5.204
angles: 90.00 90.00 90.00
Atoms (fractional coordinates):
Al 0.500 0.500 0.273
Al 0.000 0.000 0.985
Si 0.500 0.500 0.764
Cu 0.000 0.000 0.478

## Properties
The density of states at the Fermi level comes out at 2.1 states/eV per cell. The calculation puts the density at 4.07 g cm⁻³. The calculation puts the total energy at -16.67 eV/f.u.

Entry 18:
Computed, not measured: a relaxed LiPtSe2Br crystal at the PBE level of DFT.

abc: 4.973 4.973 5.413
angles: 90.00 90.00 90.00
Atoms (fractional coordinates):
Se 0.500 0.000 0.000
Pt 0.000 0.000 0.000
Li 0.500 0.500 0.500
Br 0.000 0.000 0.500
Se 0.000 0.500 0.000

## Properties
The density of states at the Fermi level comes out at 5.3 states/eV per cell. The calculation puts the density at 5.46 g cm⁻³. The calculation puts the total energy at -16.95 eV/f.u.

Entry 19:
Computed, not measured: a relaxed KTaCSe2 crystal at the PBE level of DFT.

abc: 4.931 8.124 4.931
angles: 90.00 90.00 90.00
Atoms (fractional coordinates):
Se 0.000 0.000 0.500
Se 0.500 0.000 0.000
Ta 0.000 0.000 0.000
C 0.500 0.500 0.500
K 0.000 0.500 0.000

## Properties
The density of states at the Fermi level comes out at 3.7 states/eV per cell. The calculation puts the density at 3.28 g cm⁻³. The calculation puts the total energy at -23.24 eV/f.u.

Entry 20:
Computed, not measured: a relaxed ScRh crystal at the PBE level of DFT.

abc: 3.154 14.192 12.555
angles: 90.00 90.00 90.00
Atoms (fractional coordinates):
Sc 0.750 0.250 0.619
Rh 0.500 0.890 0.500
Rh 0.750 0.640 0.750
Rh 0.000 0.610 0.500
Sc 0.500 0.000 0.869
Rh 0.250 0.360 0.750
Sc 0.500 0.000 0.131
Rh 0.250 0.140 0.750
Sc 0.000 0.500 0.869
Rh 0.250 0.640 0.250
Rh 0.500 0.390 0.000
Sc 0.500 0.500 0.369
Sc 0.750 0.750 0.119
Sc 0.500 0.500 0.631
Rh 0.000 0.390 0.500
Rh 0.500 0.110 0.500
Rh 0.000 0.890 0.000
Sc 0.000 0.000 0.631
Sc 0.250 0.250 0.119
Rh 0.750 0.360 0.250
Sc 0.250 0.750 0.619
Sc 0.000 0.000 0.369
Rh 0.750 0.140 0.250
Rh 0.250 0.860 0.250
Rh 0.000 0.110 0.000
Sc 0.750 0.250 0.881
Sc 0.250 0.250 0.381
Rh 0.750 0.860 0.750
Rh 0.500 0.610 0.000
Sc 0.250 0.750 0.881
Sc 0.750 0.750 0.381
Sc 0.000 0.500 0.131

## Properties
The formation energy comes out at -77 kJ per mole of atoms. The density of states at the Fermi level comes out at 20.0 states/eV per cell. The calculation puts the density at 6.99 g cm⁻³. The calculation puts the total energy at -15.28 eV/f.u.

Entry 21:
Computed, not measured: a relaxed MgSbN crystal at the PBE level of DFT.

abc: 3.459 5.750 11.347
angles: 90.00 90.00 90.00
Atoms (fractional coordinates):
N 0.250 0.005 0.307
Sb 0.250 0.005 0.988
N 0.750 0.495 0.693
Mg 0.750 0.172 0.258
N 0.250 0.995 0.807
Sb 0.750 0.495 0.012
Sb 0.250 0.995 0.488
N 0.750 0.505 0.193
Mg 0.250 0.672 0.242
Sb 0.750 0.505 0.512
Mg 0.250 0.328 0.742
Mg 0.750 0.828 0.758

## Properties
The density of states at the Fermi level comes out at 2.6 states/eV per cell. The calculation puts the density at 4.71 g cm⁻³. The calculation puts the total energy at -14.87 eV/f.u.

Entry 22:
Computed, not measured: a relaxed LaTcPb crystal at the PBE level of DFT.

abc: 5.050 5.050 5.050
angles: 60.00 60.00 60.00
Atoms (fractional coordinates):
Tc 0.500 0.500 0.500
La 0.750 0.750 0.750
Pb 0.000 0.000 0.000

## Properties
The formation energy comes out at 101 kJ per mole of atoms. The density of states at the Fermi level comes out at 7.1 states/eV per cell. The calculation puts the density at 8.10 g cm⁻³. The calculation puts the total energy at -15.86 eV/f.u.

Entry 23:
Computed, not measured: a relaxed FeCuS2 crystal at the PBE level of DFT.

abc: 3.689 3.689 5.273
angles: 90.00 90.00 90.00
Atoms (fractional coordinates):
S 0.500 0.000 0.255
Fe 0.500 0.500 0.500
Cu 0.000 0.000 0.000
S 0.000 0.500 0.745

## Properties
The density of states at the Fermi level comes out at 4.5 states/eV per cell. The calculation puts the density at 4.25 g cm⁻³. The calculation puts the total energy at -21.88 eV/f.u.

Entry 24:
Computed, not measured: a relaxed CoW3Au crystal at the PBE level of DFT.

abc: 4.452 4.452 4.452
angles: 90.00 90.00 90.00
Atoms (fractional coordinates):
Co 0.000 0.000 0.000
W 0.000 0.500 0.000
W 0.500 0.000 0.000
W 0.000 0.000 0.500
Au 0.500 0.500 0.500

## Properties
The formation energy comes out at 128 kJ per mole of atoms. The density of states at the Fermi level comes out at 5.4 states/eV per cell. The calculation puts the density at 15.19 g cm⁻³. The calculation puts the total energy at -42.60 eV/f.u.